No. 1
Cs3BiSb after structural relaxation, computed with GGA-PBE.

Cell and atoms, written as CIF:
```
data_Cs3BiSb
_symmetry_space_group_name_H-M 'P 1 2/c 1'
_symmetry_Int_Tables_number 13
_symmetry_space_group_name_Hall '-P 2yc'
_cell_length_a 7.651
_cell_length_b 7.174
_cell_length_c 19.508
_cell_angle_alpha 90.00
_cell_angle_beta 105.41
_cell_angle_gamma 90.00
loop_
_atom_site_label
_atom_site_fract_x
_atom_site_fract_y
_atom_site_fract_z
_atom_site_occupancy
Cs1 0.007 0.158 0.376 1
Cs2 0.292 0.449 0.785 1
Cs3 0.327 0.249 0.996 1
Bi1 0.240 0.278 0.589 1
Sb1 0.496 0.015 0.176 1
```

No. 2
Cs2BiSb after structural relaxation, computed with GGA-PBE.

Cell and atoms, written as CIF:
```
data_Cs2BiSb
_symmetry_space_group_name_H-M 'I m m 2'
_symmetry_Int_Tables_number 44
_symmetry_space_group_name_Hall 'I 2 -2'
_cell_length_a 4.719
_cell_length_b 11.584
_cell_length_c 7.551
_cell_angle_alpha 90.00
_cell_angle_beta 90.00
_cell_angle_gamma 90.00
loop_
_atom_site_label
_atom_site_fract_x
_atom_site_fract_y
_atom_site_fract_z
_atom_site_occupancy
Cs1 0.000 0.200 0.000 1
Bi1 0.000 0.000 0.478 1
Sb1 0.000 0.500 0.225 1
```

No. 3
Cs3BiSb after structural relaxation, computed with GGA-PBE.

Cell and atoms, written as CIF:
```
data_Cs3BiSb
_symmetry_space_group_name_H-M 'P m -3 m'
_symmetry_Int_Tables_number 221
_symmetry_space_group_name_Hall '-P 4 2 3'
_cell_length_a 7.216
_cell_length_b 7.216
_cell_length_c 7.216
_cell_angle_alpha 90.00
_cell_angle_beta 90.00
_cell_angle_gamma 90.00
loop_
_atom_site_label
_atom_site_fract_x
_atom_site_fract_y
_atom_site_fract_z
_atom_site_occupancy
Cs1 0.000 0.000 0.500 1
Bi1 0.500 0.500 0.500 1
Sb1 0.000 0.000 0.000 1
```

Calculated offset from the most stable computed form (meV/atom), listed in the same order as above: 0; 0; 442
Calculated mass density (g/cm3), listed in the same order as above: 4.69; 4.80; 3.22
Calculated total magnetization (μB per atom), listed in the same order as above: 0.00; 0.00; 0.60